A relaxed Li5InGa4 crystal. Source: Alexandria, functional PBE.

Computed properties:
total energy: -27.05 eV per cell

```
10
Lattice="3.224 0.000 0.000 0.000 3.224 0.000 0.000 0.000 15.836" Properties=species:S:1:pos:R:3 pbc="T T T"
Li 1.612 1.612 1.922
Li 1.612 1.612 4.973
Li 1.612 1.612 7.918
Li 1.612 1.612 10.863
Li 1.612 1.612 13.914
In 0.000 0.000 0.000
Ga 0.000 0.000 3.510
Ga 0.000 0.000 6.429
Ga 0.000 0.000 9.407
Ga 0.000 0.000 12.327
```

=====

A relaxed Li4In10Ga crystal. Source: Alexandria, functional PBE.

Computed properties:
total energy: -38.96 eV per cell

```
15
Lattice="6.049 0.000 2.731 3.024 7.367 1.366 -0.007 0.000 8.080" Properties=species:S:1:pos:R:3 pbc="T T T"
Li 4.827 5.896 5.437
Li 6.647 4.398 9.471
Li 2.419 2.969 2.706
Li 4.239 1.471 6.740
In 3.021 3.684 5.406
In 4.807 2.239 9.417
In 0.628 0.762 2.740
In 5.487 6.605 8.105
In 7.211 5.129 4.092
In 4.260 5.129 2.760
In 6.045 3.684 6.771
In 1.855 2.239 8.085
In 3.579 0.762 4.072
In 8.439 6.605 9.438
Ga 0.000 0.000 0.000
```

=====

A relaxed Li4In6Ga crystal. Source: Alexandria, functional PBE.

Computed properties:
total energy: -28.21 eV per cell

```
11
Lattice="-0.900 -5.382 -1.903 -3.284 0.871 7.863 -5.667 1.075 -0.362" Properties=species:S:1:pos:R:3 pbc="T T T"
Li -4.835 -2.552 4.123
Li -5.567 -4.183 0.309
Li -7.757 1.406 5.068
Li -1.542 -1.543 1.697
In -4.501 -1.641 1.424
In -2.638 -4.165 0.822
In -7.564 -1.374 4.032
In -2.833 0.538 -0.181
In -4.997 0.309 4.918
In -0.450 -2.691 -0.952
Ga 0.000 0.000 0.000
```

=====

A relaxed Li6InGa5 crystal. Source: Alexandria, functional PBE.

Computed properties:
total energy: -32.50 eV per cell

```
12
Lattice="3.809 -0.003 -1.067 -2.677 6.756 -2.238 0.075 0.315 7.597" Properties=species:S:1:pos:R:3 pbc="T T T"
In 0.000 0.000 0.000
Ga 1.493 1.452 5.323
Ga -0.841 2.458 4.325
Ga 0.604 3.534 2.146
Ga -1.761 4.613 1.034
Ga -0.285 5.615 -1.032
Li 0.769 0.697 2.741
Li 1.366 4.199 4.867
Li 2.219 1.826 0.575
Li -1.012 5.242 3.716
Li -0.159 2.869 -0.576
Li 0.438 6.371 1.551
```

=====

A relaxed Li2In9Ga crystal. Source: Alexandria, functional PBE.

Computed properties:
total energy: -32.32 eV per cell

```
12
Lattice="4.568 0.000 0.000 0.000 4.568 0.000 0.000 0.000 14.006" Properties=species:S:1:pos:R:3 pbc="T T T"
Li 0.000 0.000 4.771
Li 0.000 0.000 9.236
In 2.284 2.284 0.000
In 2.284 2.284 4.728
In 2.284 2.284 9.278
In 2.284 0.000 2.425
In 2.284 0.000 7.003
In 2.284 0.000 11.582
In 0.000 2.284 2.425
In 0.000 2.284 7.003
In 0.000 2.284 11.582
Ga 0.000 0.000 0.000
```

=====

A relaxed LiIn2Ga crystal. Source: Alexandria, functional PBE.

Computed properties:
total energy: -20.81 eV per cell

```
8
Lattice="4.408 0.000 0.000 0.000 4.408 0.000 2.204 2.204 9.679" Properties=species:S:1:pos:R:3 pbc="T T T"
Li 2.204 2.204 0.000
Li 2.204 4.408 4.840
Ga 0.000 0.000 0.000
Ga 4.408 2.204 4.840
In 3.271 1.102 2.420
In 1.138 3.306 2.420
In 3.306 3.342 7.260
In 5.511 5.475 7.260
```

=====

A relaxed Li2In8Ga crystal. Source: Alexandria, functional PBE.

Computed properties:
total energy: -29.64 eV per cell

```
11
Lattice="4.799 0.000 0.000 0.000 4.799 0.000 0.000 0.000 11.837" Properties=species:S:1:pos:R:3 pbc="T T T"
Li 0.000 0.000 3.923
Li 0.000 0.000 7.914
In 0.000 2.399 5.918
In 2.399 0.000 5.918
In 2.399 2.399 3.764
In 2.399 2.399 8.072
In 0.000 2.399 1.690
In 2.399 0.000 1.690
In 0.000 2.399 10.147
In 2.399 0.000 10.147
Ga 0.000 0.000 0.000
```

=====

A relaxed Li6InGa2 crystal. Source: Alexandria, functional PBE.

Computed properties:
energy relative to the lowest polymorph listed for this composition: 0.81 eV/f.u.
total energy: -21.83 eV per cell

```
9
Lattice="4.539 0.747 0.433 1.077 7.095 1.012 1.077 4.412 5.648" Properties=species:S:1:pos:R:3 pbc="T T T"
Li 3.105 6.538 5.373
Li 2.679 9.142 5.292
Li 3.105 7.918 2.993
Li 3.588 5.716 1.720
Li 4.014 3.112 1.801
Li 3.589 4.337 4.100
In 0.000 0.000 0.000
Ga 5.303 7.931 4.590
Ga 1.391 4.324 2.503
```

=====

A relaxed Li2InGa crystal. Source: Alexandria, functional PBE.

Computed properties:
total energy: -10.26 eV per cell

```
4
Lattice="3.122 0.000 0.000 1.561 2.703 0.000 1.561 0.901 9.159" Properties=species:S:1:pos:R:3 pbc="T T T"
Li 1.561 0.901 6.996
Li 1.561 0.901 2.168
In 3.122 1.802 4.568
Ga 3.122 1.802 0.007
```

=====

A relaxed LiIn2Ga8 crystal. Source: Alexandria, functional PBE.

Computed properties:
total energy: -31.42 eV per cell

```
11
Lattice="-0.143 -3.814 3.026 -3.579 -4.373 -4.447 4.785 -4.000 -3.581" Properties=species:S:1:pos:R:3 pbc="T T T"
Li 0.000 0.000 0.000
In 0.963 -9.329 -5.277
In 0.099 -2.858 0.275
Ga 2.430 -5.443 -3.831
Ga 2.168 -6.585 -0.805
Ga 0.880 -6.601 -5.646
Ga 0.183 -5.586 0.644
Ga -1.106 -5.601 -4.197
Ga -1.368 -6.743 -1.172
Ga 0.637 -7.556 -2.895
Ga 0.425 -4.631 -2.108
```

=====

A relaxed Li3In5Ga2 crystal. Source: Alexandria, functional PBE.

Computed properties:
total energy: -52.33 eV per cell

```
20
Lattice="-4.776 4.215 5.723 4.776 -4.215 5.723 4.776 4.215 -5.723" Properties=species:S:1:pos:R:3 pbc="T T T"
Li 7.165 0.000 0.000
Li 2.388 0.000 0.000
Li 0.000 0.960 7.258
Li 4.776 3.255 -1.535
Li 0.000 3.255 1.535
Li 4.776 0.960 4.189
In 2.388 0.000 5.723
In 2.388 4.215 0.000
In 2.388 4.215 2.968
In 7.165 0.000 2.756
In 2.388 0.000 2.756
In -2.388 4.215 2.968
In 4.776 -1.939 4.409
In 0.000 6.154 1.314
In 0.000 1.939 4.409
In 4.776 2.277 1.314
Ga 4.776 3.589 4.358
Ga 0.000 0.626 1.366
Ga 0.000 4.841 4.358
Ga 4.776 -0.626 1.366
```

=====

A relaxed Li2In4Ga crystal. Source: Alexandria, functional PBE.

Computed properties:
energy relative to the lowest polymorph listed for this composition: 0.23 eV/f.u.
total energy: -36.39 eV per cell

```
14
Lattice="7.654 0.021 1.289 -0.531 7.636 -1.290 -2.452 -4.861 6.045" Properties=species:S:1:pos:R:3 pbc="T T T"
Li 2.746 -0.769 4.857
Li 3.707 5.479 1.189
Li 3.971 1.661 1.833
Li -1.081 -0.780 4.212
In 6.203 -0.213 2.572
In 1.741 3.536 1.096
In 4.543 1.331 4.763
In 4.169 -3.359 5.225
In 1.551 -0.924 2.110
In 0.950 -2.869 4.950
In 1.323 1.821 4.488
In 6.393 4.246 1.557
Ga -0.638 2.305 2.378
Ga 0.928 0.997 0.000
```

=====

A relaxed LiIn4Ga crystal. Source: Alexandria, functional PBE.

Computed properties:
energy relative to the lowest polymorph listed for this composition: 0.00 eV/f.u.
total energy: -32.50 eV per cell

```
12
Lattice="7.023 0.000 0.000 0.000 7.023 0.000 -3.511 -3.511 5.874" Properties=species:S:1:pos:R:3 pbc="T T T"
Li 3.511 3.511 0.000
Li 0.000 0.000 0.000
In 2.410 5.922 1.565
In 5.922 4.613 1.565
In 1.101 2.410 1.565
In 2.410 1.101 4.309
In -2.410 -1.101 4.309
In 1.101 -2.410 4.309
In -1.101 2.410 4.309
In 4.613 1.101 1.565
Ga 0.000 0.000 2.937
Ga 3.511 3.511 2.937
```

=====

A relaxed Li2In2Ga crystal. Source: Alexandria, functional PBE.

Computed properties:
energy relative to the lowest polymorph listed for this composition: 0.34 eV/f.u.
total energy: -25.99 eV per cell

```
10
Lattice="7.065 0.000 0.000 0.000 7.065 0.000 0.000 0.000 4.008" Properties=species:S:1:pos:R:3 pbc="T T T"
Li 2.539 6.071 0.000
Li 6.071 4.526 0.000
Li 4.526 0.994 0.000
Li 0.994 2.539 0.000
Ga 0.000 0.000 0.000
Ga 3.533 3.533 0.000
In 1.164 4.697 2.004
In 4.697 5.901 2.004
In 5.901 2.368 2.004
In 2.368 1.164 2.004
```

=====

A relaxed Li6In2Ga crystal. Source: Alexandria, functional PBE.

Computed properties:
energy relative to the lowest polymorph listed for this composition: 0.00 eV/f.u.
total energy: -22.34 eV per cell

```
9
Lattice="5.397 -0.168 0.636 0.740 5.380 -0.245 -0.105 -0.283 5.428" Properties=species:S:1:pos:R:3 pbc="T T T"
Li 1.247 2.617 0.881
Li 5.068 4.208 3.038
Li 4.785 2.312 4.938
Li 3.298 4.359 1.012
Li 0.964 0.721 2.780
Li 2.734 0.570 4.807
In 3.842 1.553 2.122
In 2.190 3.376 3.697
Ga 0.000 0.000 0.000
```

=====

A relaxed LiIn2Ga crystal. Source: Alexandria, functional PBE.

Computed properties:
total energy: -10.17 eV per cell

```
4
Lattice="-0.307 2.814 1.632 -2.887 1.528 0.093 -3.606 -3.888 9.293" Properties=species:S:1:pos:R:3 pbc="T T T"
Li 0.000 0.000 0.000
Ga -3.400 0.227 5.509
In -2.937 -2.484 6.998
In -3.863 2.937 4.020
```

=====

A relaxed Li2InGa crystal. Source: Alexandria, functional PBE.

Computed properties:
total energy: -10.59 eV per cell

```
4
Lattice="-0.526 3.569 -1.886 -3.758 -1.291 -1.394 -1.820 1.561 3.462" Properties=species:S:1:pos:R:3 pbc="T T T"
Li -0.910 0.781 1.731
Li -1.879 -0.646 -0.697
Ga -0.263 1.784 -0.943
In -3.053 1.919 0.091
```

=====

A relaxed Li2In4Ga crystal. Source: Alexandria, functional PBE.

Computed properties:
energy relative to the lowest polymorph listed for this composition: 0.00 eV/f.u.
total energy: -73.71 eV per cell

```
28
Lattice="8.534 0.000 4.927 2.845 8.046 4.927 0.000 0.000 9.854" Properties=species:S:1:pos:R:3 pbc="T T T"
Li 4.702 3.325 11.564
Li 5.689 6.117 9.854
Li 4.702 3.325 8.144
Li 9.521 6.733 16.492
Li 9.521 6.733 13.071
Li 6.559 6.733 14.781
Li 7.664 3.325 9.854
Li 8.534 3.940 14.781
In 0.255 0.180 4.927
In 5.689 1.006 9.854
In 4.139 6.215 12.539
In 1.550 3.843 2.685
In 5.434 3.843 4.927
In 7.239 1.831 7.170
In 4.139 6.215 7.170
In 2.589 1.831 9.854
In 4.139 0.180 2.685
In 8.789 6.215 9.854
In 7.112 5.029 7.391
In 1.550 3.843 7.170
In 4.139 0.180 7.170
In 7.239 1.831 12.539
In 7.112 5.029 12.318
In 2.845 5.029 9.854
Ga 5.689 1.006 4.927
Ga 2.845 5.029 4.927
Ga 1.422 1.006 2.464
Ga 1.422 1.006 7.391
```

=====

A relaxed Li2In2Ga crystal. Source: Alexandria, functional PBE.

Computed properties:
energy relative to the lowest polymorph listed for this composition: 0.28 eV/f.u.
total energy: -26.12 eV per cell

```
10
Lattice="5.366 0.000 0.000 0.000 6.727 0.000 -2.683 -3.363 5.779" Properties=species:S:1:pos:R:3 pbc="T T T"
Li 2.683 2.237 4.924
Li 0.000 1.126 0.855
Li 2.683 5.601 0.855
Li 0.000 -2.237 4.924
In 0.000 1.795 3.700
In 2.683 1.569 2.079
In 0.000 5.158 2.079
In 2.683 -1.795 3.700
Ga 4.024 3.363 0.000
Ga 1.341 3.363 0.000
```

=====

A relaxed Li3InGa8 crystal. Source: Alexandria, functional PBE.

Computed properties:
total energy: -34.32 eV per cell

```
12
Lattice="5.504 0.000 0.000 -2.752 4.766 0.000 0.000 0.000 8.788" Properties=species:S:1:pos:R:3 pbc="T T T"
Li 2.752 1.589 3.738
Li 2.752 1.589 0.682
Li 0.000 0.000 8.206
In 0.000 0.000 4.951
Ga 0.000 3.178 4.378
Ga 0.000 3.178 8.767
Ga 2.752 0.061 6.656
Ga 1.429 2.353 6.656
Ga 4.075 2.353 6.656
Ga 0.000 1.545 2.144
Ga -1.413 3.994 2.144
Ga 1.413 3.994 2.144
```

=====

A relaxed Li3InGa2 crystal. Source: Alexandria, functional PBE.

Computed properties:
energy relative to the lowest polymorph listed for this composition: 0.04 eV/f.u.
total energy: -32.15 eV per cell

```
12
Lattice="-0.211 -2.283 -3.379 3.962 -1.000 0.429 -3.208 -9.781 6.808" Properties=species:S:1:pos:R:3 pbc="T T T"
Li -0.275 -8.201 3.091
Li -1.709 -6.030 1.718
Li 0.819 -4.863 0.768
Li -0.653 -2.811 -0.529
Li 1.875 -1.644 -1.479
Li -2.765 -9.254 3.956
In 0.167 -7.671 0.243
In 0.000 -0.002 -0.004
Ga -2.373 -8.877 1.211
Ga -1.256 -5.470 -1.161
Ga 1.422 -2.204 1.400
Ga -0.668 -8.578 5.836
```